# 1
First-principles (PBE) data for crystalline NdScAlCu at its relaxed geometry, as listed in Alexandria via LeMat-Bulk.

Cell: 7.053 7.053 7.053 Å, 90.00 90.00 90.00°
Atoms (fractional coordinates):
Nd  0.000  0.000  0.000
Nd  0.000  0.500  0.500
Nd  0.500  0.000  0.500
Nd  0.500  0.500  0.000
Sc  0.000  0.000  0.500
Sc  0.000  0.500  0.000
Sc  0.500  0.000  0.000
Sc  0.500  0.500  0.500
Al  0.250  0.250  0.250
Al  0.250  0.750  0.750
Al  0.750  0.250  0.750
Al  0.750  0.750  0.250
Cu  0.250  0.250  0.750
Cu  0.250  0.750  0.250
Cu  0.750  0.250  0.250
Cu  0.750  0.750  0.750

Values from the calculation:
Theoretical density   5.30 g/cm3
Energy of formation   -0.236 eV per atom

# 2
First-principles (PBE) data for crystalline Rb3U2Se4S3 at its relaxed geometry, as listed in Alexandria via LeMat-Bulk.

Cell: 14.409 14.409 14.409 Å, 159.21 158.08 30.40°
Atoms (fractional coordinates):
Rb  0.000  0.000  0.000
Rb  0.184  0.184  0.000
Rb  0.816  0.816  0.000
U  0.406  0.406  0.000
U  0.594  0.594  0.000
Se  0.092  0.592  0.500
Se  0.312  0.312  0.000
Se  0.688  0.688  0.000
Se  0.908  0.408  0.500
S  0.407  0.907  0.500
S  0.500  0.500  0.000
S  0.593  0.093  0.500

Values from the calculation:
Theoretical density   4.80 g/cm3
Raw formation energy   -1234 meV per atom

# 3
First-principles (PBE) data for crystalline Nb2Zn2Ru at its relaxed geometry, as listed in Alexandria via LeMat-Bulk.

Cell: 6.690 6.690 3.515 Å, 90.00 90.00 90.00°
Atoms (fractional coordinates):
Nb  0.173  0.327  0.000
Nb  0.327  0.827  0.000
Nb  0.673  0.173  0.000
Nb  0.827  0.673  0.000
Zn  0.129  0.629  0.500
Zn  0.371  0.129  0.500
Zn  0.629  0.871  0.500
Zn  0.871  0.371  0.500
Ru  0.000  0.000  0.500
Ru  0.500  0.500  0.500

Values from the calculation:
Theoretical density   8.82 g/cm3
Energy of formation   0.008 eV per atom

Electronic total energy (eV/atom)
-4.970; -5.551; -6.385